Entry 1:
Compound: Cu2BSb
Source: the Open Quantum Materials Database
Functional: PBE
Structure: optimized geometry

Cell lengths 6.165, 6.165, 6.165 Å; angles 90.00, 90.00, 90.00 degrees
Positions (direct):
B  0.500  0.000  0.500
B  0.500  0.500  0.500
B  0.000  0.500  0.500
B  0.500  0.500  0.000
Sb  0.000  0.000  0.000
Sb  0.500  0.000  0.000
Sb  0.000  0.500  0.000
Sb  0.000  0.000  0.500
Cu  0.299  0.299  0.299
Cu  0.701  0.701  0.299
Cu  0.299  0.701  0.299
Cu  0.299  0.701  0.701
Cu  0.701  0.299  0.299
Cu  0.299  0.299  0.701
Cu  0.701  0.701  0.701
Cu  0.701  0.299  0.701

Computed properties:
Raw total energy, eV/atom: -3.85
Space group: Pm-3m

Entry 2:
Compound: Cu2BSb
Source: the Open Quantum Materials Database
Functional: PBE
Structure: optimized geometry

Cell lengths 6.172, 6.172, 6.172 Å; angles 90.00, 90.00, 90.00 degrees
Positions (direct):
Cu  0.201  0.201  0.201
Cu  0.799  0.201  0.799
Cu  0.201  0.799  0.799
Cu  0.201  0.799  0.201
Cu  0.799  0.201  0.201
Cu  0.799  0.799  0.799
Cu  0.201  0.201  0.799
Cu  0.799  0.799  0.201
Sb  0.000  0.500  0.500
Sb  0.500  0.500  0.500
Sb  0.500  0.000  0.500
Sb  0.500  0.500  0.000
B  0.000  0.000  0.000
B  0.000  0.500  0.000
B  0.500  0.000  0.000
B  0.000  0.000  0.500

Computed properties:
Raw total energy, eV/atom: -3.85
Space group: Pm-3m

Entry 3:
Compound: ScCu5B2
Source: the Open Quantum Materials Database
Functional: PBE
Structure: optimized geometry

Cell lengths 3.953, 3.953, 5.889 Å; angles 90.00, 90.00, 90.00 degrees
Positions (direct):
Sc  0.500  0.500  0.000
Cu  0.500  0.000  0.724
Cu  0.000  0.000  0.500
Cu  0.000  0.500  0.276
Cu  0.000  0.500  0.724
Cu  0.500  0.000  0.276
B  0.000  0.000  0.000
B  0.500  0.500  0.500

Computed properties:
Raw total energy, eV/atom: -4.43
Space group: P4/mmm